Record 1
Entry from Alexandria via LeMat-Bulk: a geometry-optimized LiErZnPd structure (GGA-PBE).

Cell: 4.6579 4.6579 4.6579 Å, 60.00 60.00 60.00°
With the nearest neighbours (Å) after each atom.
Fractional coordinates of all 4 atoms:
1 Li 0.0000 0.0000 0.0000  4 Zn 2.85, 4 Er 2.85
2 Er 0.2500 0.2500 0.2500  4 Li 2.85, 4 Pd 2.85
3 Zn 0.7500 0.7500 0.7500  4 Pd 2.85, 4 Li 2.85
4 Pd 0.5000 0.5000 0.5000  4 Er 2.85, 4 Zn 2.85

Calculated values
Formation energy in eV/atom: -0.459
Crystal system: cubic


Record 2
Entry from Alexandria via LeMat-Bulk: a geometry-optimized LiEr2Zn2Pd5 structure (GGA-PBE).

Cell: 9.6356 9.6356 3.7403 Å, 90.00 90.00 90.00°
With the nearest neighbours (Å) after each atom.
Fractional coordinates of all 20 atoms:
1 Li 0.0000 0.0000 0.0000  8 Pd 2.77
2 Li 0.5000 0.5000 0.0000  8 Pd 2.77
3 Er 0.1756 0.3244 0.0000  3 Zn 2.75-2.92, 2 Pd 3.04
4 Er 0.3244 0.8244 0.0000  3 Zn 2.75-2.92, 2 Pd 3.04
5 Er 0.6756 0.1756 0.0000  3 Zn 2.75-2.92, 2 Pd 3.04
6 Er 0.8244 0.6756 0.0000  3 Zn 2.75-2.92, 2 Pd 3.04
7 Zn 0.1227 0.6227 0.0000  6 Pd 2.51-2.58, 1 Er 2.75
8 Zn 0.3773 0.1227 0.0000  6 Pd 2.51-2.58, 1 Er 2.75
9 Zn 0.6227 0.8773 0.0000  6 Pd 2.51-2.58, 1 Er 2.75
10 Zn 0.8773 0.3773 0.0000  6 Pd 2.51-2.58, 1 Er 2.75
11 Pd 0.0000 0.5000 0.5000  4 Zn 2.51
12 Pd 0.0694 0.7992 0.5000  2 Zn 2.58, 2 Li 2.77
13 Pd 0.2008 0.0694 0.5000  2 Zn 2.58, 2 Li 2.77
14 Pd 0.2992 0.5694 0.5000  2 Zn 2.58, 2 Li 2.77
15 Pd 0.4306 0.2992 0.5000  2 Zn 2.58, 2 Li 2.77
16 Pd 0.5000 0.0000 0.5000  4 Zn 2.51
17 Pd 0.5694 0.7008 0.5000  2 Zn 2.58, 2 Li 2.77
18 Pd 0.7008 0.4306 0.5000  2 Zn 2.58, 2 Li 2.77
19 Pd 0.7992 0.9306 0.5000  2 Zn 2.58, 2 Li 2.77
20 Pd 0.9306 0.2008 0.5000  2 Zn 2.58, 2 Li 2.77

Calculated values
Formation energy in eV/atom: -0.653
Crystal system: tetragonal


Record 3
Entry from Alexandria via LeMat-Bulk: a geometry-optimized LiErZn2Pd4 structure (GGA-PBE).

Cell: 7.9513 7.9513 7.9513 Å, 32.26 32.26 32.26°
With the nearest neighbours (Å) after each atom.
Fractional coordinates of all 8 atoms:
1 Li 0.0000 0.0000 0.0000  8 Pd 2.50-2.70
2 Er 0.5000 0.5000 0.5000  8 Pd 2.85-2.87
3 Zn 0.2556 0.2556 0.2556  7 Pd 2.65-2.69
4 Zn 0.7444 0.7444 0.7444  7 Pd 2.65-2.69
5 Pd 0.1108 0.1108 0.1108  1 Li 2.50, 3 Zn 2.66
6 Pd 0.3729 0.3729 0.3729  4 Zn 2.65-2.69, 3 Li 2.70, 1 Er 2.87
7 Pd 0.6271 0.6271 0.6271  4 Zn 2.65-2.69, 3 Li 2.70, 1 Er 2.87
8 Pd 0.8892 0.8892 0.8892  1 Li 2.50, 3 Zn 2.66

Calculated values
Formation energy in eV/atom: -0.659
Crystal system: trigonal


Record 4
Entry from Alexandria via LeMat-Bulk: a geometry-optimized LiPm2Er structure (GGA-PBE).

Cell: 5.5480 5.5480 5.5480 Å, 60.00 60.00 60.00°
With the nearest neighbours (Å) after each atom.
Fractional coordinates of all 4 atoms:
1 Li 0.0000 0.0000 0.0000  8 Pm 3.40
2 Pm 0.2500 0.2500 0.2500  4 Li 3.40, 4 Er 3.40
3 Pm 0.7500 0.7500 0.7500  4 Li 3.40, 4 Er 3.40
4 Er 0.5000 0.5000 0.5000  8 Pm 3.40

Calculated values
Formation energy in eV/atom: 0.157
E above lowest polymorph in meV per atom: 89.5
Crystal system: cubic


Record 5
Entry from Alexandria via LeMat-Bulk: a geometry-optimized LiPmEr structure (GGA-PBE).

Cell: 9.1065 9.1065 11.5996 Å, 101.56 101.56 21.64°
With the nearest neighbours (Å) after each atom.
Fractional coordinates of all 12 atoms:
1 Li 0.0398 0.0398 0.3074  2 Li 2.76
2 Li 0.4353 0.4353 0.1740  2 Li 2.76
3 Li 0.5647 0.5647 0.8260  2 Li 2.76
4 Li 0.9602 0.9602 0.6926  2 Li 2.76
5 Pm 0.0963 0.0963 0.0678  3 Li 3.14-3.24, 3 Pm 3.42-3.48
6 Pm 0.1068 0.1068 0.5860  4 Li 3.12-3.48, 2 Pm 3.42, 2 Er 3.47
7 Pm 0.8932 0.8932 0.4140  4 Li 3.12-3.48, 2 Pm 3.42, 2 Er 3.47
8 Pm 0.9037 0.9037 0.9322  3 Li 3.14-3.24, 3 Pm 3.42-3.48
9 Er 0.2206 0.2206 0.3651  1 Li 3.16, 6 Er 3.42-3.53, 2 Pm 3.47
10 Er 0.2237 0.2237 0.8672  2 Li 3.27, 6 Er 3.42-3.50, 4 Pm 3.50-3.59
11 Er 0.7763 0.7763 0.1328  2 Li 3.27, 6 Er 3.42-3.50, 4 Pm 3.50-3.59
12 Er 0.7794 0.7794 0.6349  1 Li 3.16, 6 Er 3.42-3.53, 2 Pm 3.47

Calculated values
Formation energy in eV/atom: 0.169
E above lowest polymorph in meV per atom: 82.8
Crystal system: monoclinic


Record 6
Entry from Alexandria via LeMat-Bulk: a geometry-optimized LiPmEr structure (GGA-PBE).

Cell: 3.4977 3.4977 8.3634 Å, 90.00 90.00 120.00°
With the nearest neighbours (Å) after each atom.
Fractional coordinates of all 3 atoms:
1 Li 0.0000 0.0000 0.0000  3 Er 3.38, 3 Pm 3.46, 6 Li 3.50
2 Pm 0.6667 0.3333 0.3360  3 Li 3.46, 3 Er 3.49, 6 Pm 3.50
3 Er 0.3333 0.6667 0.6763  3 Li 3.38, 3 Pm 3.49, 6 Er 3.50

Calculated values
Formation energy in eV/atom: 0.108
E above lowest polymorph in meV per atom: 22.0
Crystal system: trigonal


Record 7
Entry from Alexandria via LeMat-Bulk: a geometry-optimized Li2PmEr structure (GGA-PBE).

Cell: 12.0230 12.0230 12.0230 Å, 15.93 15.93 15.93°
With the nearest neighbours (Å) after each atom.
Fractional coordinates of all 4 atoms:
1 Li 0.0873 0.0873 0.0873  1 Er 3.11, 6 Li 3.33, 3 Pm 3.42
2 Li 0.9127 0.9127 0.9127  1 Er 3.11, 6 Li 3.33, 3 Pm 3.42
3 Pm 0.5000 0.5000 0.5000  6 Pm 3.33, 6 Li 3.42
4 Er 0.0000 0.0000 0.0000  2 Li 3.11, 6 Er 3.33

Calculated values
Formation energy in eV/atom: 0.289
E above lowest polymorph in meV per atom: 136.0
Crystal system: trigonal


Record 8
Entry from Alexandria via LeMat-Bulk: a geometry-optimized LiPm2Er structure (GGA-PBE).

Cell: 3.6353 3.6353 9.0852 Å, 90.00 90.00 90.00°
With the nearest neighbours (Å) after each atom.
Fractional coordinates of all 4 atoms:
1 Li 0.0000 0.0000 0.0000  8 Pm 3.31, 4 Li 3.64
2 Pm 0.5000 0.5000 0.2302  4 Li 3.31, 4 Er 3.55, 4 Pm 3.64
3 Pm 0.5000 0.5000 0.7698  4 Li 3.31, 4 Er 3.55, 4 Pm 3.64
4 Er 0.0000 0.0000 0.5000  8 Pm 3.55, 4 Er 3.64

Calculated values
Formation energy in eV/atom: 0.067
E above lowest polymorph in meV per atom: 0.0
Crystal system: tetragonal


formation energy of number 4 (LiPm2Er)?
0.157 eV/atom


formation energy of number 8 (LiPm2Er)?
0.067 eV/atom


Which of these has the lowest formation energy?
LiErZn2Pd4


Among the records above, which one has the highest formation energy?
Li2PmEr